Computed, not measured: a geometry-optimized CsAuBr2F structure at the PBE-GGA level of DFT.

abc: 7.488 7.488 7.488
angles: 118.68 118.68 92.30
Sites, in units of the cell vectors:
Cs 0.250 0.750 0.500
Cs 0.750 0.250 0.500
Au 0.000 0.000 0.000
Au 0.500 0.500 0.000
Br 0.234 0.234 0.468
Br 0.234 0.766 0.000
Br 0.766 0.234 0.000
Br 0.766 0.766 0.532
F 0.305 0.305 0.000
F 0.695 0.695 0.000

Values from the calculation:
Electronic total energy: -0.22138 Ry per atom
SG: I4/mmm

***

Computed, not measured: a geometry-optimized CsAuBrF2 structure at the PBE-GGA level of DFT.

abc: 7.324 7.324 7.324
angles: 123.03 123.03 84.83
Sites, in units of the cell vectors:
Cs 0.250 0.750 0.500
Cs 0.750 0.250 0.500
Au 0.000 0.000 0.000
Au 0.500 0.500 0.000
Br 0.223 0.223 0.000
Br 0.777 0.777 0.000
F 0.298 0.298 0.597
F 0.298 0.702 0.000
F 0.702 0.298 0.000
F 0.702 0.702 0.403

Values from the calculation:
Electronic total energy: -0.24336 Ry per atom
SG: I4/mmm

***

Computed, not measured: a geometry-optimized Cs2FeAuBr6 structure at the PBE-GGA level of DFT.

abc: 7.650 7.650 7.650
angles: 60.00 60.00 60.00
Sites, in units of the cell vectors:
Cs 0.250 0.250 0.250
Cs 0.750 0.750 0.750
Fe 0.000 0.000 0.000
Au 0.500 0.500 0.500
Br 0.239 0.239 0.761
Br 0.239 0.761 0.239
Br 0.239 0.761 0.761
Br 0.761 0.239 0.239
Br 0.761 0.239 0.761
Br 0.761 0.761 0.239

Values from the calculation:
Electronic total energy: -0.23634 Ry per atom
SG: Fm-3m

***

Computed, not measured: a geometry-optimized Cs2HfAuBr6 structure at the PBE-GGA level of DFT.

abc: 8.021 8.021 8.021
angles: 60.00 60.00 60.00
Sites, in units of the cell vectors:
Cs 0.250 0.250 0.250
Cs 0.750 0.750 0.750
Hf 0.000 0.000 0.000
Au 0.500 0.500 0.500
Br 0.232 0.232 0.768
Br 0.232 0.768 0.232
Br 0.232 0.768 0.768
Br 0.768 0.232 0.232
Br 0.768 0.232 0.768
Br 0.768 0.768 0.232

Values from the calculation:
Electronic total energy: -0.27428 Ry per atom
SG: Fm-3m

***

Computed, not measured: a geometry-optimized CsAuIBr2 structure at the PBE-GGA level of DFT.

abc: 8.274 8.274 8.274
angles: 122.47 122.47 85.77
Sites, in units of the cell vectors:
Cs 0.250 0.750 0.500
Cs 0.750 0.250 0.500
Au 0.000 0.000 0.000
Au 0.500 0.500 0.000
I 0.216 0.216 0.000
I 0.784 0.784 0.000
Br 0.277 0.277 0.553
Br 0.277 0.723 0.000
Br 0.723 0.277 0.000
Br 0.723 0.723 0.447

Values from the calculation:
Electronic total energy: -0.19235 Ry per atom
SG: I4/mmm

***

Computed, not measured: a geometry-optimized Cs2InAuBr6 structure at the PBE-GGA level of DFT.

abc: 7.873 7.873 7.873
angles: 60.00 60.00 60.00
Sites, in units of the cell vectors:
Cs 0.250 0.250 0.250
Cs 0.750 0.750 0.750
In 0.000 0.000 0.000
Au 0.500 0.500 0.500
Br 0.248 0.248 0.752
Br 0.248 0.752 0.248
Br 0.248 0.752 0.752
Br 0.752 0.248 0.248
Br 0.752 0.248 0.752
Br 0.752 0.752 0.248

Values from the calculation:
Electronic total energy: -0.20724 Ry per atom
SG: Fm-3m

***

Computed, not measured: a geometry-optimized Cs2InAuBr6 structure at the PBE-GGA level of DFT.

abc: 7.878 7.878 7.877
angles: 119.98 119.98 60.02
Sites, in units of the cell vectors:
Cs 0.250 0.250 0.250
Cs 0.750 0.750 0.750
In 0.000 0.000 0.500
Au 0.500 0.500 0.000
Br 0.247 0.752 0.747
Br 0.248 0.248 0.749
Br 0.248 0.753 0.253
Br 0.752 0.247 0.747
Br 0.752 0.752 0.251
Br 0.753 0.248 0.253

Values from the calculation:
Electronic total energy: -0.20726 Ry per atom
SG: C2/m

***

Computed, not measured: a geometry-optimized Cs2IrAuBr6 structure at the PBE-GGA level of DFT.

abc: 7.595 7.595 7.595
angles: 60.00 60.00 60.00
Sites, in units of the cell vectors:
Cs 0.250 0.250 0.250
Cs 0.750 0.750 0.750
Ir 0.000 0.000 0.000
Au 0.500 0.500 0.500
Br 0.238 0.238 0.762
Br 0.238 0.762 0.238
Br 0.238 0.762 0.762
Br 0.762 0.238 0.238
Br 0.762 0.238 0.762
Br 0.762 0.762 0.238

Values from the calculation:
Electronic total energy: -0.23123 Ry per atom
SG: Fm-3m

***

Computed, not measured: a geometry-optimized Cs2KAuBr6 structure at the PBE-GGA level of DFT.

abc: 8.217 8.217 8.217
angles: 60.00 60.00 60.00
Sites, in units of the cell vectors:
Cs 0.250 0.250 0.250
Cs 0.750 0.750 0.750
K 0.000 0.000 0.000
Au 0.500 0.500 0.500
Br 0.270 0.270 0.730
Br 0.270 0.730 0.270
Br 0.270 0.730 0.730
Br 0.730 0.270 0.270
Br 0.730 0.270 0.730
Br 0.730 0.730 0.270

Values from the calculation:
Electronic total energy: -0.19523 Ry per atom
SG: Fm-3m

***

Computed, not measured: a geometry-optimized Cs2NiAuBr6 structure at the PBE-GGA level of DFT.

abc: 7.509 7.509 7.509
angles: 60.00 60.00 60.00
Sites, in units of the cell vectors:
Cs 0.250 0.250 0.250
Cs 0.750 0.750 0.750
Ni 0.000 0.000 0.000
Au 0.500 0.500 0.500
Br 0.238 0.238 0.762
Br 0.238 0.762 0.238
Br 0.238 0.762 0.762
Br 0.762 0.238 0.238
Br 0.762 0.238 0.762
Br 0.762 0.762 0.238

Values from the calculation:
Energy above the most stable polymorph in this dataset: 18 meV per atom
SG: Fm-3m

***

Computed, not measured: a geometry-optimized Cs2NiAuBr6 structure at the PBE-GGA level of DFT.

abc: 7.835 7.835 7.835
angles: 123.14 123.14 84.65
Sites, in units of the cell vectors:
Cs 0.250 0.750 0.500
Cs 0.750 0.250 0.500
Ni 0.000 0.000 0.000
Au 0.500 0.500 0.000
Br 0.205 0.205 0.000
Br 0.253 0.253 0.506
Br 0.253 0.747 0.000
Br 0.747 0.253 0.000
Br 0.747 0.747 0.494
Br 0.795 0.795 0.000

Values from the calculation:
Energy above the most stable polymorph in this dataset: 0 meV per atom
SG: I4/mmm

***

Computed, not measured: a geometry-optimized Cs2RbAuBr6 structure at the PBE-GGA level of DFT.

abc: 8.232 8.232 8.232
angles: 60.00 60.00 60.00
Sites, in units of the cell vectors:
Cs 0.250 0.250 0.250
Cs 0.750 0.750 0.750
Rb 0.000 0.000 0.000
Au 0.500 0.500 0.500
Br 0.272 0.272 0.728
Br 0.272 0.728 0.272
Br 0.272 0.728 0.728
Br 0.728 0.272 0.272
Br 0.728 0.272 0.728
Br 0.728 0.728 0.272

Values from the calculation:
Electronic total energy: -0.19332 Ry per atom
SG: Fm-3m